<i>
## SrAl3Se (PBE)

Data for a relaxed structure of SrAl3Se.

The structure in CIF format:
```
data_SrAl3Se
_chemical_formula_sum 'Sr1 Al3 Se1'
_cell_length_a 5.8999
_cell_length_b 5.8999
_cell_length_c 5.8999
_cell_angle_alpha 90.00
_cell_angle_beta 90.00
_cell_angle_gamma 90.00
_symmetry_space_group_name_H-M 'P m -3 m'
_symmetry_Int_Tables_number 221
_symmetry_space_group_name_Hall '-P 4 2 3'
loop_
_atom_site_label
_atom_site_fract_x
_atom_site_fract_y
_atom_site_fract_z
Sr1 0.0000 0.0000 0.0000
Al1 0.0000 0.0000 0.5000
Se1 0.5000 0.5000 0.5000
```


<ii>
## SrAl3Se (PBE)

Data for a relaxed structure of SrAl3Se.

The structure in CIF format:
```
data_SrAl3Se
_chemical_formula_sum 'Sr1 Al3 Se1'
_cell_length_a 5.2000
_cell_length_b 5.2000
_cell_length_c 5.2000
_cell_angle_alpha 90.00
_cell_angle_beta 90.00
_cell_angle_gamma 90.00
_symmetry_space_group_name_H-M 'P m -3 m'
_symmetry_Int_Tables_number 221
_symmetry_space_group_name_Hall '-P 4 2 3'
loop_
_atom_site_label
_atom_site_fract_x
_atom_site_fract_y
_atom_site_fract_z
Sr1 0.0000 0.0000 0.0000
Al1 0.0000 0.5000 0.5000
Se1 0.5000 0.5000 0.5000
```


Energy comparison, zero being the most stable, in eV/atom: <i> 1.082; <ii> 0.000.


<i>
## SrAl2Se2 (PBE)

Data for a relaxed structure of SrAl2Se2.

The structure in CIF format:
```
data_SrAl2Se2
_chemical_formula_sum 'Sr2 Al4 Se4'
_cell_length_a 8.5373
_cell_length_b 8.5373
_cell_length_c 4.1059
_cell_angle_alpha 90.00
_cell_angle_beta 90.00
_cell_angle_gamma 90.00
_symmetry_space_group_name_H-M 'P 4/m b m'
_symmetry_Int_Tables_number 127
_symmetry_space_group_name_Hall '-P 4 2ab'
loop_
_atom_site_label
_atom_site_fract_x
_atom_site_fract_y
_atom_site_fract_z
Sr1 0.0000 0.0000 0.0000
Al1 0.1045 0.3955 0.5000
Se1 0.2184 0.2816 0.0000
```


<ii>
## SrAl2Se2 (PBE)

Data for a relaxed structure of SrAl2Se2.

The structure in CIF format:
```
data_SrAl2Se2
_chemical_formula_sum 'Sr2 Al4 Se4'
_cell_length_a 3.8653
_cell_length_b 3.8653
_cell_length_c 16.2737
_cell_angle_alpha 90.00
_cell_angle_beta 90.00
_cell_angle_gamma 90.00
_symmetry_space_group_name_H-M 'I 4/m m m'
_symmetry_Int_Tables_number 139
_symmetry_space_group_name_Hall '-I 4 2'
loop_
_atom_site_label
_atom_site_fract_x
_atom_site_fract_y
_atom_site_fract_z
Sr1 0.0000 0.0000 0.0000
Al1 0.0000 0.5000 0.2500
Se1 0.0000 0.0000 0.3942
```


Energy comparison, zero being the most stable, in eV/atom: <i> 0.063; <ii> 0.000.